(1)
## La2Pm6NdHo3 (GGA-PBE)

Data for crystalline La2Pm6NdHo3 at its relaxed geometry.

Results
SG ... C2/m, No. 12
Density of states at the Fermi level ... 1.53 states/eV/atom
Size of the total moment ... 0.00 μB/f.u.
ΔE_f ... 0.020 eV per atom

Cell lengths 6.313, 6.313, 12.058 Å; angles 95.02, 95.02, 120.03 degrees
Positions (direct):
Pm: 0.581 0.914 0.744
Pm: 0.086 0.419 0.256
Pm: 0.419 0.086 0.256
Pm: 0.247 0.247 0.744
Pm: 0.914 0.581 0.744
Pm: 0.753 0.753 0.256
Ho: 0.166 0.834 0.500
Ho: 0.834 0.166 0.500
Ho: 0.500 0.500 0.500
La: 0.667 0.333 0.000
La: 0.333 0.667 0.000
Nd: 0.000 0.000 0.000

***

(2)
## La6PmNd2Ho (GGA-PBE)

Data for crystalline La6PmNd2Ho at its relaxed geometry.

Results
SG ... C2/c, No. 15
Density of states at the Fermi level ... 1.23 states/eV/atom
Size of the total moment ... 0.00 μB/f.u.
ΔE_f ... 0.108 eV per atom

Cell lengths 9.317, 9.168, 9.168 Å; angles 114.45, 90.23, 90.23 degrees
Positions (direct):
Nd: 0.936 0.705 0.794
Nd: 0.564 0.206 0.295
Nd: 0.064 0.295 0.206
Nd: 0.436 0.794 0.705
Ho: 0.750 0.571 0.429
Ho: 0.250 0.429 0.571
La: 0.091 0.077 0.776
La: 0.181 0.535 0.972
La: 0.319 0.028 0.465
La: 0.095 0.719 0.431
La: 0.405 0.569 0.281
La: 0.591 0.776 0.077
La: 0.819 0.465 0.028
La: 0.595 0.431 0.719
La: 0.681 0.972 0.535
La: 0.905 0.281 0.569
La: 0.909 0.923 0.224
La: 0.409 0.224 0.923
Pm: 0.250 0.932 0.068
Pm: 0.750 0.068 0.932

***

(3)
## LaPm2Nd5Ho (GGA-PBE)

Data for crystalline LaPm2Nd5Ho at its relaxed geometry.

Results
SG ... I4/mcm, No. 140
Density of states at the Fermi level ... 1.51 states/eV/atom
Size of the total moment ... 0.00 μB/f.u.
ΔE_f ... 0.267 eV per atom

Cell lengths 8.997, 8.997, 10.117 Å; angles 116.40, 116.40, 90.00 degrees
Positions (direct):
Nd: 0.344 0.844 0.273
Nd: 0.929 0.429 0.273
Nd: 0.500 0.500 0.000
Nd: 0.000 0.000 0.000
Nd: 0.429 0.344 0.273
Nd: 0.071 0.571 0.727
Nd: 0.844 0.929 0.273
Nd: 0.156 0.071 0.727
Nd: 0.656 0.156 0.727
Nd: 0.571 0.656 0.727
Pm: 0.616 0.116 0.000
Pm: 0.884 0.616 0.000
Pm: 0.384 0.884 0.000
Pm: 0.116 0.384 0.000
La: 0.250 0.250 0.500
La: 0.750 0.750 0.500
Ho: 0.250 0.750 0.500
Ho: 0.750 0.250 0.500

***

(4)
## La2PmNdHo (GGA-PBE)

Data for crystalline La2PmNdHo at its relaxed geometry.

Results
SG ... Pmma, No. 51
Density of states at the Fermi level ... 1.33 states/eV/atom
Size of the total moment ... 0.00 μB/f.u.
ΔE_f ... 0.207 eV per atom

Cell lengths 6.837, 7.941, 6.538 Å; angles 90.00, 90.00, 90.00 degrees
Positions (direct):
La: 0.290 0.705 0.250
La: 0.290 0.295 0.250
La: 0.710 0.705 0.750
La: 0.710 0.295 0.750
Nd: 0.813 0.500 0.250
Nd: 0.187 0.500 0.750
Pm: 0.590 0.000 0.250
Pm: 0.410 0.000 0.750
Ho: 0.000 0.000 0.500
Ho: 0.000 0.000 0.000

***

(5)
## LaPm5Nd2Ho (GGA-PBE)

Data for crystalline LaPm5Nd2Ho at its relaxed geometry.

Results
SG ... I4/mcm, No. 140
Density of states at the Fermi level ... 1.41 states/eV/atom
Size of the total moment ... 0.00 μB/f.u.
ΔE_f ... 0.262 eV per atom

Cell lengths 8.924, 8.924, 10.125 Å; angles 116.15, 116.15, 90.00 degrees
Positions (direct):
Pm: 0.071 0.571 0.725
Pm: 0.345 0.845 0.275
Pm: 0.429 0.345 0.275
Pm: 0.155 0.071 0.725
Pm: 0.845 0.929 0.275
Pm: 0.571 0.655 0.725
Pm: 0.500 0.500 0.000
Pm: 0.655 0.155 0.725
Pm: 0.000 0.000 0.000
Pm: 0.929 0.429 0.275
Ho: 0.750 0.250 0.500
Ho: 0.250 0.750 0.500
Nd: 0.883 0.617 0.000
Nd: 0.617 0.117 0.000
Nd: 0.383 0.883 0.000
Nd: 0.117 0.383 0.000
La: 0.750 0.750 0.500
La: 0.250 0.250 0.500

***

(6)
## La6PmNdHo2 (GGA-PBE)

Data for crystalline La6PmNdHo2 at its relaxed geometry.

Results
SG ... C2/m, No. 12
Density of states at the Fermi level ... 1.91 states/eV/atom
Size of the total moment ... 0.00 μB/f.u.
ΔE_f ... 0.187 eV per atom

Cell lengths 8.981, 7.232, 6.732 Å; angles 122.49, 100.77, 90.00 degrees
Positions (direct):
La: 0.437 0.640 0.280
La: 0.197 0.599 0.644
La: 0.803 0.401 0.356
La: 0.563 0.360 0.720
La: 0.803 0.956 0.356
La: 0.197 0.044 0.644
Pm: 0.000 0.500 0.000
Nd: 0.500 0.000 0.000
Ho: 0.159 0.092 0.184
Ho: 0.841 0.908 0.816

***

(7)
## La3Pm2NdHo6 (GGA-PBE)

Data for crystalline La3Pm2NdHo6 at its relaxed geometry.

Results
SG ... C2/m, No. 12
Density of states at the Fermi level ... 1.17 states/eV/atom
Size of the total moment ... 0.00 μB/f.u.
ΔE_f ... 0.014 eV per atom

Cell lengths 6.284, 6.284, 11.838 Å; angles 95.07, 95.07, 120.00 degrees
Positions (direct):
Ho: 0.082 0.416 0.247
Ho: 0.749 0.749 0.247
Ho: 0.251 0.251 0.753
Ho: 0.584 0.918 0.753
Ho: 0.918 0.584 0.753
Ho: 0.416 0.082 0.247
Pm: 0.667 0.333 0.000
Pm: 0.333 0.667 0.000
La: 0.500 0.500 0.500
La: 0.167 0.833 0.500
La: 0.833 0.167 0.500
Nd: 0.000 0.000 0.000

***

(8)
## LaPm6NdHo2 (GGA-PBE)

Data for crystalline LaPm6NdHo2 at its relaxed geometry.

Results
SG ... C2/c, No. 15
Density of states at the Fermi level ... 1.46 states/eV/atom
Size of the total moment ... 0.00 μB/f.u.
ΔE_f ... 0.114 eV per atom

Cell lengths 9.763, 8.955, 8.955 Å; angles 117.12, 93.83, 93.83 degrees
Positions (direct):
Ho: 0.452 0.803 0.705
Ho: 0.952 0.705 0.803
Ho: 0.048 0.295 0.197
Ho: 0.548 0.197 0.295
Pm: 0.820 0.436 0.981
Pm: 0.120 0.705 0.486
Pm: 0.557 0.757 0.110
Pm: 0.320 0.981 0.436
Pm: 0.380 0.514 0.295
Pm: 0.880 0.295 0.514
Pm: 0.180 0.564 0.019
Pm: 0.620 0.486 0.705
Pm: 0.680 0.019 0.564
Pm: 0.943 0.890 0.243
Pm: 0.057 0.110 0.757
Pm: 0.443 0.243 0.890
La: 0.250 0.406 0.594
La: 0.750 0.594 0.406
Nd: 0.250 0.967 0.033
Nd: 0.750 0.033 0.967

***

(9)
## La3PmNdHo (GGA-PBE)

Data for crystalline La3PmNdHo at its relaxed geometry.

Results
SG ... C2/m, No. 12
Density of states at the Fermi level ... 1.42 states/eV/atom
Size of the total moment ... 0.00 μB/f.u.
ΔE_f ... 0.145 eV per atom

Cell lengths 5.928, 10.851, 6.886 Å; angles 89.20, 90.00, 105.85 degrees
Positions (direct):
Ho: 0.650 0.300 0.462
Ho: 0.350 0.700 0.538
La: 0.780 0.560 0.774
La: 0.220 0.440 0.226
La: 0.484 0.968 0.261
La: 0.840 0.680 0.276
La: 0.516 0.032 0.739
La: 0.160 0.320 0.724
Nd: 0.059 0.117 0.248
Nd: 0.941 0.883 0.752
Pm: 0.360 0.719 0.995
Pm: 0.640 0.281 0.005

***

(10)
## LaPm2Nd6Ho (GGA-PBE)

Data for crystalline LaPm2Nd6Ho at its relaxed geometry.

Results
SG ... C2/c, No. 15
Density of states at the Fermi level ... 1.50 states/eV/atom
Size of the total moment ... 0.00 μB/f.u.
ΔE_f ... 0.110 eV per atom

Cell lengths 9.880, 9.017, 9.017 Å; angles 117.82, 93.97, 93.97 degrees
Positions (direct):
Pm: 0.545 0.197 0.298
Pm: 0.955 0.702 0.803
Pm: 0.045 0.298 0.197
Pm: 0.455 0.803 0.702
La: 0.750 0.022 0.978
La: 0.250 0.978 0.022
Nd: 0.187 0.567 0.014
Nd: 0.945 0.880 0.252
Nd: 0.055 0.120 0.748
Nd: 0.555 0.748 0.120
Nd: 0.445 0.252 0.880
Nd: 0.618 0.493 0.704
Nd: 0.118 0.704 0.493
Nd: 0.687 0.014 0.567
Nd: 0.882 0.296 0.507
Nd: 0.313 0.986 0.433
Nd: 0.382 0.507 0.296
Nd: 0.813 0.433 0.986
Ho: 0.750 0.591 0.409
Ho: 0.250 0.409 0.591

***

(11)
## La3PmNd2Ho6 (GGA-PBE)

Data for crystalline La3PmNd2Ho6 at its relaxed geometry.

Results
SG ... C2/m, No. 12
Density of states at the Fermi level ... 1.16 states/eV/atom
Size of the total moment ... 0.00 μB/f.u.
ΔE_f ... 0.013 eV per atom

Cell lengths 6.289, 6.289, 11.841 Å; angles 95.07, 95.07, 120.00 degrees
Positions (direct):
La: 0.833 0.167 0.500
La: 0.167 0.833 0.500
La: 0.500 0.500 0.500
Nd: 0.667 0.333 0.000
Nd: 0.333 0.667 0.000
Ho: 0.918 0.584 0.752
Ho: 0.584 0.918 0.752
Ho: 0.082 0.416 0.248
Ho: 0.251 0.251 0.752
Ho: 0.749 0.749 0.248
Ho: 0.416 0.082 0.248
Pm: 0.000 0.000 0.000

***

(12)
## La2Pm5NdHo (GGA-PBE)

Data for crystalline La2Pm5NdHo at its relaxed geometry.

Results
SG ... P4/mbm, No. 127
Density of states at the Fermi level ... 1.63 states/eV/atom
Size of the total moment ... 0.00 μB/f.u.
ΔE_f ... 0.239 eV per atom

Cell lengths 8.237, 8.775, 8.775 Å; angles 90.00, 90.00, 90.00 degrees
Positions (direct):
Pm: 0.218 0.783 0.283
Pm: 0.782 0.717 0.783
Pm: 0.218 0.717 0.783
Pm: 0.782 0.283 0.217
Pm: 0.500 0.000 0.000
Pm: 0.218 0.217 0.717
Pm: 0.218 0.283 0.217
Pm: 0.500 0.500 0.500
Pm: 0.782 0.217 0.717
Pm: 0.782 0.783 0.283
Ho: 0.000 0.000 0.500
Ho: 0.000 0.500 0.000
Nd: 0.000 0.500 0.500
Nd: 0.000 0.000 0.000
La: 0.500 0.119 0.381
La: 0.500 0.881 0.619
La: 0.500 0.381 0.881
La: 0.500 0.619 0.119